Record 1
This record from Alexandria describes a geometry-optimized KCr2I structure. The functional is PBE-GGA.

Summary:
* formation energy (no corrections): 74.94 kJ per mole of atoms
* DOS(E_F): 0.99 states/eV/f.u.
* offset from the most stable computed form: 0 kJ/mol of formula units
* volume: 133 Å³/f.u.

Geometry as POSCAR:
```
KCr2I
1.0
4.5694 0.0000 0.0000
0.0000 4.5694 0.0000
2.2847 2.2847 12.7471
K Cr I
2 4 2
Direct
0.2500 0.7500 0.5000
0.5000 0.5000 0.0000
0.3750 0.3634 0.7500
0.1134 0.6250 0.2500
0.8750 0.8866 0.7500
0.6366 0.1250 0.2500
0.7500 0.2500 0.5000
0.0000 0.0000 0.0000
```

Record 2
This record from Alexandria describes a geometry-optimized CaTbErLu structure. The functional is PBE-GGA.

Summary:
* DOS(E_F): 7.01 states/eV/f.u.
* calculated formation energy: 0.167 eV/atom
* volume: 130 Å³/f.u.

Geometry as POSCAR:
```
CaTbErLu
1.0
-2.0777 -1.8232 -4.9758
3.5034 -0.8630 -4.4024
1.0935 -5.2978 -1.7711
Tb Ca Er Lu
1 1 1 1
Direct
0.5000 0.5000 0.5000
0.7500 0.7500 0.7500
0.0000 0.0000 0.0000
0.2500 0.2500 0.2500
```

Record 3
This record from Alexandria describes a geometry-optimized Zr4Be3 structure. The functional is PBE-GGA.

Summary:
* DOS(E_F): 5.66 states/eV/f.u.
* calculated formation energy: 0.022 eV/atom
* offset from the most stable computed form: 0 kJ/mol of formula units
* volume: 118 Å³/f.u.

Geometry as POSCAR:
```
Zr4Be3
1.0
-3.0008 2.5293 -3.1958
-0.1132 -5.0587 0.1103
-3.8202 0.1665 3.7190
Be Zr
3 4
Direct
0.0000 0.5000 0.0000
0.5000 0.0000 0.0000
0.5000 0.5000 0.0000
0.0000 0.0000 0.2439
0.0000 0.0000 0.7561
0.6667 0.3333 0.5000
0.3333 0.6667 0.5000
```

Record 4
This record from Alexandria describes a geometry-optimized Pm2NbTl structure. The functional is PBE-GGA.

Summary:
* DOS(E_F): 5.99 states/eV/f.u.
* calculated formation energy: 0.489 eV/atom
* volume: 109 Å³/f.u.

Geometry as POSCAR:
```
Pm2NbTl
1.0
3.2982 0.0000 0.0000
1.6491 2.8564 0.0000
1.6491 0.9521 11.6163
Pm Nb Tl
2 1 1
Direct
0.0846 0.0846 0.7463
0.9154 0.9154 0.2537
0.0000 0.0000 0.0000
0.5000 0.5000 0.5000
```

Record 5
This record from Alexandria describes a geometry-optimized HgHS2 structure. The functional is PBE-GGA.

Summary:
* DOS(E_F): 2.53 states/eV/f.u.
* offset from the most stable computed form: 175 kJ/mol of formula units
* volume: 69 Å³/f.u.

Geometry as POSCAR:
```
HgHS2
1.0
-2.8199 -1.8420 4.2336
-4.1807 -1.0863 -3.2573
-1.7847 -5.8160 -0.2625
Hg S H
2 4 2
Direct
0.7500 0.2500 0.5000
0.0000 0.0000 0.0000
0.2153 0.6250 0.2500
0.3750 0.4653 0.7500
0.5347 0.1250 0.2500
0.8750 0.7847 0.7500
0.5000 0.5000 0.0000
0.2500 0.7500 0.5000
```

Record 6
This record from Alexandria describes a geometry-optimized Ac2MgCdSe5 structure. The functional is PBE-GGA.

Summary:
* formation energy (no corrections): -146.94 kJ per mole of atoms
* volume: 245 Å³/f.u.

Geometry as POSCAR:
```
Ac2MgCdSe5
1.0
4.3133 0.0000 0.0000
-2.1567 8.9807 0.0000
0.0000 0.0000 12.6729
Se Ac Cd Mg
10 4 2 2
Direct
0.6898 0.3796 0.8580
0.9477 0.8954 0.5712
0.6454 0.2908 0.5011
0.7120 0.4240 0.1580
0.2880 0.5760 0.6580
0.3102 0.6204 0.3580
0.0523 0.1046 0.0712
0.5059 0.0119 0.2693
0.4941 0.9881 0.7693
0.3546 0.7092 0.0011
0.1159 0.2317 0.6896
0.8841 0.7683 0.1896
0.8640 0.7281 0.8040
0.1360 0.2719 0.3040
0.5480 0.0960 0.9591
0.4520 0.9040 0.4591
0.2050 0.4099 0.0136
0.7950 0.5901 0.5136
```

Record 7
This record from Alexandria describes a geometry-optimized Ba6As2RhI3 structure. The functional is PBE-GGA.

Summary:
* formation energy (no corrections): -121.75 kJ per mole of atoms
* volume: 499 Å³/f.u.

Geometry as POSCAR:
```
Ba6As2RhI3
1.0
8.2543 -0.0006 0.0002
-4.1257 7.1493 0.0002
-1.3769 -2.3840 8.4562
Ba I As Rh
6 3 2 1
Direct
0.2540 0.2540 0.7998
0.0666 0.3874 0.1996
0.3874 0.0666 0.1996
0.9334 0.6126 0.8004
0.6126 0.9334 0.8004
0.7460 0.7460 0.2002
0.1686 0.8314 0.5000
0.5000 0.5000 0.5000
0.8314 0.1686 0.5000
0.6665 0.3335 0.0000
0.3335 0.6665 0.0000
0.0000 0.0000 0.0000
```

Record 8
This record from Alexandria describes a geometry-optimized Zr2SiHg structure. The functional is PBE-GGA.

Summary:
* formation energy (no corrections): -10.96 kJ per mole of atoms
* DOS(E_F): 3.79 states/eV/f.u.
* volume: 86 Å³/f.u.

Geometry as POSCAR:
```
Zr2SiHg
1.0
7.5754 0.0000 0.0000
0.0000 7.5754 0.0000
3.7877 3.7877 2.9972
Hg Zr Si
2 4 2
Direct
0.0000 0.0000 0.0000
0.7500 0.2500 0.5000
0.6046 0.1250 0.2500
0.3750 0.3954 0.7500
0.8750 0.8546 0.7500
0.1454 0.6250 0.2500
0.2500 0.7500 0.5000
0.5000 0.5000 0.0000
```

Record 9
This record from Alexandria describes a geometry-optimized KPtSeN2 structure. The functional is PBE-GGA.

Summary:
* formation energy (no corrections): 96.43 kJ per mole of atoms
* DOS(E_F): 5.69 states/eV/f.u.
* offset from the most stable computed form: 0 kJ/mol of formula units
* volume: 89 Å³/f.u.

Geometry as POSCAR:
```
KPtSeN2
1.0
4.0150 0.0000 0.0000
0.0000 4.0150 0.0000
0.0000 0.0000 5.5271
K N Se Pt
1 2 1 1
Direct
0.5000 0.5000 0.5000
0.5000 0.0000 0.0000
0.0000 0.5000 0.0000
0.0000 0.0000 0.5000
0.0000 0.0000 0.0000
```

Record 10
This record from Alexandria describes a geometry-optimized CsRbBa2S structure. The functional is PBE-GGA.

Summary:
* formation energy (no corrections): -61.31 kJ per mole of atoms
* DOS(E_F): 4.32 states/eV/f.u.
* volume: 305 Å³/f.u.

Geometry as POSCAR:
```
CsRbBa2S
1.0
-3.6662 2.9708 4.1982
-4.4205 -4.4554 -0.7076
3.1784 -4.0494 5.6411
Ba Cs S Rb
2 1 1 1
Direct
0.5000 0.0000 0.0000
0.0000 0.5000 0.0000
0.0000 0.0000 0.5000
0.0000 0.0000 0.0000
0.5000 0.5000 0.5000
```

Record 11
This record from Alexandria describes a geometry-optimized TmAg2Sb structure. The functional is PBE-GGA.

Summary:
* formation energy (no corrections): 24.78 kJ per mole of atoms
* DOS(E_F): 1.93 states/eV/f.u.
* volume: 96 Å³/f.u.

Geometry as POSCAR:
```
TmAg2Sb
1.0
3.2049 0.0000 0.0000
1.6024 2.7755 0.0000
1.6024 0.9252 10.8068
Ag Sb Tm
2 1 1
Direct
0.0891 0.0891 0.7326
0.9109 0.9109 0.2674
0.5000 0.5000 0.5000
0.0000 0.0000 0.0000
```

Record 12
This record from Alexandria describes a geometry-optimized ErBeZn6Ni structure. The functional is PBE-GGA.

Summary:
* DOS(E_F): 5.47 states/eV/f.u.
* calculated formation energy: 0.057 eV/atom
* volume: 146 Å³/f.u.

Geometry as POSCAR:
```
ErBeZn6Ni
1.0
6.6183 0.0000 0.0000
0.0000 8.2882 0.0000
-3.3091 -4.1441 5.3389
Zn Be Ni Er
12 2 2 2
Direct
0.6738 0.3724 0.7504
0.9919 0.2419 0.9839
0.4170 0.1670 0.8340
0.0767 0.8780 0.7504
0.3262 0.6276 0.2496
0.3262 0.1220 0.2496
0.9233 0.6276 0.2496
0.0081 0.7581 0.0161
0.6738 0.8780 0.7504
0.9233 0.1220 0.2496
0.0767 0.3724 0.7504
0.5830 0.8330 0.1660
0.5000 0.5000 0.0000
0.5000 0.0000 0.0000
0.0000 0.0000 0.5000
0.5000 0.0000 0.5000
0.2985 0.5485 0.5971
0.7015 0.4515 0.4029
```

Record 13
This record from Alexandria describes a geometry-optimized TcW2Br structure. The functional is PBE-GGA.

Summary:
* formation energy (no corrections): 116.44 kJ per mole of atoms
* DOS(E_F): 3.42 states/eV/f.u.
* offset from the most stable computed form: 265 kJ/mol of formula units
* volume: 66 Å³/f.u.

Geometry as POSCAR:
```
TcW2Br
1.0
5.2513 -0.0030 0.0000
2.4806 4.6285 0.0000
-3.8660 -2.3127 2.6985
W Tc Br
2 1 1
Direct
0.0000 0.0000 0.0000
0.5000 0.5000 0.0000
0.7500 0.2500 0.5000
0.2500 0.7500 0.5000
```